Below is a relaxed structure of UGaHgO6, with properties calculated at the PBE level.

Computed properties:
VASP energy = -6.66 eV/atom
Uncorrected formation energy = -1.734 eV/atom
Symmetry = P1 (1)
Theoretical density = 7952 kg/m3

The structure in extended XYZ format:
```
9
Lattice="-0.609 -0.236 5.470 3.853 -2.074 3.380 2.420 4.325 0.276" Properties=species:S:1:pos:R:3 pbc="T T T"
O 2.614 2.277 4.927
O 1.557 0.201 6.768
O 4.079 1.842 2.431
O 3.023 -0.244 4.126
O 5.301 0.967 5.605
O 0.426 0.997 3.534
Ga 2.308 1.380 3.138
U 3.383 0.615 6.066
Hg 5.629 2.037 9.036
```